No. 1
Below is a relaxed structure of LaPbW2, with properties calculated at the PBE-GGA level.

```
LaPbW2
1.0
3.7266 0.0000 0.0000
0.0000 3.7266 0.0000
0.0000 0.0000 6.7523
La Pb W
1 1 2
Direct
0.0000 0.0000 0.0000 La
0.0000 0.0000 0.5000 Pb
0.5000 0.5000 0.3150 W
0.5000 0.5000 0.6850 W
```

Computed properties:
Crystal system = tetragonal
Space group = P4/mmm, No. 123
Total magnetization = 0.00 μB/f.u.

No. 2
Below is a relaxed structure of La4PbW, with properties calculated at the PBE-GGA level.

```
La4PbW
1.0
0.0000 4.4656 4.4656
4.4656 0.0000 4.4656
4.4656 4.4656 0.0000
La Pb W
4 1 1
Direct
0.3767 0.3767 0.3767 La
0.3767 0.3767 0.8698 La
0.3767 0.8698 0.3767 La
0.8698 0.3767 0.3767 La
0.0000 0.0000 0.0000 Pb
0.7500 0.7500 0.7500 W
```

Computed properties:
Crystal system = cubic
Space group = F-43m, No. 216
Total magnetization = 0.00 μB/f.u.

No. 3
Below is a relaxed structure of LaPbW2, with properties calculated at the PBE-GGA level.

```
LaPbW2
1.0
3.1426 -5.0041 0.0000
3.1426 5.0041 0.0000
-1.3110 0.0000 2.7205
La Pb W
1 1 2
Direct
0.0000 0.0000 0.0000 La
0.5000 0.5000 0.0000 Pb
0.0000 0.5000 0.5000 W
0.5000 0.0000 0.5000 W
```

Computed properties:
Crystal system = monoclinic
Space group = C2/m, No. 12
Total magnetization = 0.00 μB/f.u.

No. 4
Below is a relaxed structure of LaPbW2, with properties calculated at the PBE-GGA level.

```
LaPbW2
1.0
2.9416 0.0000 0.0000
0.0000 2.9416 0.0000
0.0000 0.0000 10.1699
La Pb W
1 1 2
Direct
0.0000 0.0000 0.0000 La
0.0000 0.0000 0.5000 Pb
0.5000 0.5000 0.2615 W
0.5000 0.5000 0.7385 W
```

Computed properties:
Crystal system = tetragonal
Space group = P4/mmm, No. 123
Total magnetization = 0.00 μB/f.u.

No. 5
Below is a relaxed structure of LaPbW2, with properties calculated at the PBE-GGA level.

```
LaPbW2
1.0
4.3443 0.0000 0.0000
0.0000 4.3443 0.0000
0.0000 0.0000 4.6824
La Pb W
1 1 2
Direct
0.0000 0.0000 0.0000 La
0.5000 0.5000 0.0000 Pb
0.0000 0.5000 0.5000 W
0.5000 0.0000 0.5000 W
```

Computed properties:
Crystal system = tetragonal
Space group = P4/mmm, No. 123
Total magnetization = 0.00 μB/f.u.

No. 6
Below is a relaxed structure of LaPbW2, with properties calculated at the PBE-GGA level.

```
LaPbW2
1.0
3.1443 -4.7927 0.0000
3.1443 4.7927 0.0000
0.0000 0.0000 2.9079
La Pb W
1 1 2
Direct
0.0000 0.0000 0.0000 La
0.5000 0.5000 0.0000 Pb
0.0000 0.5000 0.5000 W
0.5000 0.0000 0.5000 W
```

Computed properties:
Crystal system = orthorhombic
Space group = Cmmm, No. 65
Total magnetization = 0.00 μB/f.u.

No. 7
Below is a relaxed structure of LaPbW2, with properties calculated at the PBE-GGA level.

```
LaPbW2
1.0
4.2435 -1.6288 0.0000
4.2435 1.6288 0.0000
-0.9630 0.0000 7.0799
La Pb W
1 1 2
Direct
0.0000 0.0000 0.0000 La
0.2347 0.2347 0.6646 Pb
0.4872 0.4872 0.4233 W
0.7584 0.7584 0.2909 W
```

Computed properties:
Crystal system = monoclinic
Space group = Cm, No. 8
Total magnetization = 0.00 μB/f.u.

No. 8
Below is a relaxed structure of LaPbW2, with properties calculated at the PBE-GGA level.

```
LaPbW2
1.0
-1.7249 2.5358 5.3630
1.7249 -2.5358 5.3630
1.7249 2.5358 -5.3630
La Pb W
1 1 2
Direct
0.0000 0.0000 0.0000 La
0.2840 0.7840 0.5000 Pb
0.5412 0.5412 0.0000 W
0.7121 0.2121 0.5000 W
```

Computed properties:
Crystal system = orthorhombic
Space group = Imm2, No. 44
Total magnetization = 0.00 μB/f.u.

No. 9
Below is a relaxed structure of LaPbW2, with properties calculated at the PBE-GGA level.

```
LaPbW2
1.0
1.6353 0.9441 9.9541
-1.6353 0.9441 9.9541
0.0000 -1.8882 9.9541
La Pb W
1 1 2
Direct
0.0000 0.0000 0.0000 La
0.7695 0.7695 0.7695 Pb
0.2459 0.2459 0.2459 W
0.5203 0.5203 0.5203 W
```

Computed properties:
Crystal system = trigonal
Space group = R3m, No. 160
Total magnetization = 0.00 μB/f.u.

No. 10
Below is a relaxed structure of LaPbW2, with properties calculated at the PBE-GGA level.

```
LaPbW2
1.0
3.3219 0.0000 0.0000
0.0000 3.3219 0.0000
0.0000 0.0000 8.2811
La Pb W
1 1 2
Direct
0.0000 0.0000 0.0000 La
0.5000 0.5000 0.3311 Pb
0.0000 0.0000 0.5793 W
0.5000 0.5000 0.7326 W
```

Computed properties:
Crystal system = tetragonal
Space group = P4mm, No. 99
Total magnetization = 0.00 μB/f.u.

No. 11
Below is a relaxed structure of LaPbW2, with properties calculated at the PBE-GGA level.

```
LaPbW2
1.0
1.7196 -2.5035 0.0000
1.7196 2.5035 0.0000
0.0000 0.0000 9.9297
La Pb W
1 1 2
Direct
0.0000 0.0000 0.0000 La
0.0000 0.0000 0.5000 Pb
0.5000 0.5000 0.2631 W
0.5000 0.5000 0.7369 W
```

Computed properties:
Crystal system = orthorhombic
Space group = Cmmm, No. 65
Total magnetization = 0.00 μB/f.u.

No. 12
Below is a relaxed structure of LaPbW2, with properties calculated at the PBE-GGA level.

```
LaPbW2
1.0
1.6893 -2.5831 0.0000
1.6893 2.5831 0.0000
0.0000 0.0000 10.2689
La Pb W
1 1 2
Direct
0.0000 0.0000 0.0000 La
0.5000 0.5000 0.6893 Pb
0.0000 0.0000 0.4422 W
0.5000 0.5000 0.2553 W
```

Computed properties:
Crystal system = orthorhombic
Space group = Cmm2, No. 35
Total magnetization = 0.00 μB/f.u.

No. 13
Below is a relaxed structure of LaPbW2, with properties calculated at the PBE-GGA level.

```
LaPbW2
1.0
-4.1030 4.1030 2.9261
4.1030 -4.1030 2.9261
4.1030 4.1030 -2.9261
La Pb W
2 2 4
Direct
0.0000 0.0000 0.0000 La
0.7500 0.2500 0.5000 La
0.2500 0.7500 0.5000 Pb
0.5000 0.5000 0.0000 Pb
0.1608 0.6250 0.0358 W
0.3750 0.4108 0.5358 W
0.5892 0.1250 0.9642 W
0.8750 0.8392 0.4642 W
```

Computed properties:
Crystal system = tetragonal
Space group = I-42d, No. 122
Total magnetization = 0.00 μB/f.u.

No. 14
Below is a relaxed structure of La6YPb, with properties calculated at the PBE-GGA level.

```
La6YPb
1.0
5.1176 0.0000 0.0000
0.0000 5.1176 0.0000
0.0000 0.0000 10.4974
La Y Pb
6 1 1
Direct
0.0000 0.0000 0.0000 La
0.0000 0.0000 0.5000 La
0.0000 0.5000 0.2444 La
0.0000 0.5000 0.7556 La
0.5000 0.0000 0.2444 La
0.5000 0.0000 0.7556 La
0.5000 0.5000 0.5000 Y
0.5000 0.5000 0.0000 Pb
```

Computed properties:
Crystal system = tetragonal
Space group = P4/mmm, No. 123
Total magnetization = 0.00 μB/f.u.

No. 15
Below is a relaxed structure of LaY2Pb, with properties calculated at the PBE-GGA level.

```
LaY2Pb
1.0
4.0063 -4.0199 0.0000
4.0063 4.0199 0.0000
0.0000 0.0000 3.7350
La Y Pb
1 2 1
Direct
0.0000 0.0000 0.0000 La
0.0000 0.5000 0.5000 Y
0.5000 0.0000 0.5000 Y
0.5000 0.5000 0.0000 Pb
```

Computed properties:
Crystal system = orthorhombic
Space group = Cmmm, No. 65
Total magnetization = 0.00 μB/f.u.

No. 16
Below is a relaxed structure of LaYPb2, with properties calculated at the PBE-GGA level.

```
LaYPb2
1.0
-2.3140 2.3454 5.6595
2.3140 -2.3454 5.6595
2.3140 2.3454 -5.6595
La Y Pb
1 1 2
Direct
0.0000 0.0000 0.0000 La
0.7492 0.2492 0.5000 Y
0.2507 0.7507 0.5000 Pb
0.4964 0.4964 0.0000 Pb
```

Computed properties:
Crystal system = orthorhombic
Space group = Imm2, No. 44
Total magnetization = 0.00 μB/f.u.

No. 17
Below is a relaxed structure of LaY2Pb, with properties calculated at the PBE-GGA level.

```
LaY2Pb
1.0
-2.4410 2.4410 5.1738
2.4410 -2.4410 5.1738
2.4410 2.4410 -5.1738
La Y Pb
1 2 1
Direct
0.0000 0.0000 0.0000 La
0.2500 0.7500 0.5000 Y
0.7500 0.2500 0.5000 Y
0.5000 0.5000 0.0000 Pb
```

Computed properties:
Crystal system = tetragonal
Space group = I4/mmm, No. 139
Total magnetization = 0.00 μB/f.u.

No. 18
Below is a relaxed structure of La3Y2Pb3, with properties calculated at the PBE-GGA level.

```
La3Y2Pb3
1.0
9.4228 0.0000 0.0000
-4.7114 8.1604 0.0000
0.0000 0.0000 6.8302
La Y Pb
6 4 6
Direct
0.0000 0.2434 0.2500 La
0.0000 0.7566 0.7500 La
0.2434 0.0000 0.2500 La
0.2434 0.2434 0.7500 La
0.7566 0.0000 0.7500 La
0.7566 0.7566 0.2500 La
0.3333 0.6667 0.0000 Y
0.3333 0.6667 0.5000 Y
0.6667 0.3333 0.0000 Y
0.6667 0.3333 0.5000 Y
0.0000 0.3975 0.7500 Pb
0.0000 0.6025 0.2500 Pb
0.3975 0.0000 0.7500 Pb
0.3975 0.3975 0.2500 Pb
0.6025 0.0000 0.2500 Pb
0.6025 0.6025 0.7500 Pb
```

Computed properties:
Crystal system = hexagonal
Space group = P6_3/mcm, No. 193
Total magnetization = 0.00 μB/f.u.

No. 19
Below is a relaxed structure of LaY2Pb, with properties calculated at the PBE-GGA level.

```
LaY2Pb
1.0
0.0000 3.9581 3.9581
3.9581 0.0000 3.9581
3.9581 3.9581 0.0000
La Y Pb
1 2 1
Direct
0.0000 0.0000 0.0000 La
0.5000 0.5000 0.5000 Y
0.7500 0.7500 0.7500 Y
0.2500 0.2500 0.2500 Pb
```

Computed properties:
Crystal system = cubic
Space group = F-43m, No. 216
Total magnetization = 0.01 μB/f.u.

No. 20
Below is a relaxed structure of LaYPb, with properties calculated at the PBE-GGA level.

```
LaYPb
1.0
-1.8509 1.8509 7.1633
1.8509 -1.8509 7.1633
1.8509 1.8509 -7.1633
La Y Pb
1 1 1
Direct
0.0000 0.0000 0.0000 La
0.6967 0.6967 0.0000 Y
0.3415 0.3415 0.0000 Pb
```

Computed properties:
Crystal system = tetragonal
Space group = I4mm, No. 107
Total magnetization = 0.00 μB/f.u.

Formation energy from the elements? In order: 88.0; 74.6; 93.3; 111.0; 97.1; 109.2; 52.7; 62.0; 53.7; 25.5; 102.4; 50.8; 145.6; -15.8; -17.3; -50.6; -25.5; -54.9; -13.8; -28.8 kJ per mole of atoms.
DFT total energy? In order: -0.284; -0.194; -0.282; -0.275; -0.280; -0.276; -0.297; -0.294; -0.297; -0.308; -0.278; -0.298; -0.262; -0.189; -0.205; -0.192; -0.208; -0.199; -0.203; -0.196 hartree per atom.